Entry 1:
Computed, not measured: ScHg2Cl2 after structural relaxation at the GGA-PBE level of DFT.

For the formation energy without anion corrections, the calculation gives -0.900 eV per atom.

Cell: 6.7556 6.7556 6.9275 Å, 90.00 90.00 90.00°
Closest atoms and distances in Å follow each position.
Space group P4/mbm (No. 127)
Unique sites:
Sc 0.0000 0.0000 0.0000  4 Cl 2.49
Hg 0.1767 0.3233 0.5000  5 Hg 3.38-3.52, 2 Cl 3.74
Cl 0.1765 0.6765 0.0000  2 Sc 2.49

---

Entry 2:
Computed, not measured: Li2FePPd after structural relaxation at the GGA-PBE level of DFT.

The value obtained for the energy of formation from the pure elements is 21.07 kcal/mol of atoms.

Cell: 4.2799 4.2799 4.5099 Å, 90.00 90.00 90.00°
Closest atoms and distances in Å follow each position.
Space group P4/mmm (No. 123)
Unique sites:
Li 0.0000 0.5000 0.0000  2 Fe 2.14
Fe 0.0000 0.0000 0.0000  4 Li 2.14, 2 Pd 2.25
P 0.5000 0.5000 0.5000  4 Pd 3.03, 8 Li 3.11
Pd 0.0000 0.0000 0.5000  2 Fe 2.25

---

Entry 3:
Computed, not measured: SrTl2SnPb after structural relaxation at the GGA-PBE level of DFT.

The value obtained for the energy of formation from the pure elements is -3.11 kcal/mol of atoms.

Cell: 3.8612 15.4117 10.9910 Å, 90.00 90.00 90.00°
Closest atoms and distances in Å follow each position.
Space group Cmcm (No. 63)
Unique sites:
Sr 0.0000 0.1464 0.2500  2 Sn 3.55, 2 Pb 3.55, 6 Tl 3.56-3.88, 2 Sr 3.86
Tl 0.0000 0.1933 0.5968  1 Pb 3.16, 3 Tl 3.36-3.37, 2 Sn 3.41
Sn 0.0000 0.4529 0.2500  4 Tl 3.41, 4 Pb 3.44, 2 Sr 3.55
Pb 0.0000 0.0000 0.0000  2 Tl 3.16, 4 Sn 3.44

---

Entry 4:
Computed, not measured: Ac2Sm7Er2 after structural relaxation at the GGA-PBE level of DFT.

The value obtained for the energy of formation from the pure elements is 7.53 kcal/mol of atoms.

Cell: 9.8008 9.2916 9.4987 Å, 90.00 107.85 90.00°
Closest atoms and distances in Å follow each position.
Space group C2/m (No. 12)
Unique sites:
Ac 0.1227 0.0000 0.3980  1 Ac 3.52, 5 Sm 3.52-3.89, 2 Er 3.90
Sm 0.0000 0.5000 0.5000  4 Sm 3.15
Sm 0.1447 0.3079 0.7784  2 Sm 3.15-3.40, 2 Er 3.18-3.48
Sm 0.1604 0.5000 0.1321  5 Sm 3.37-3.77, 2 Er 3.56
Er 0.0000 0.1626 0.0000  1 Er 3.02, 2 Sm 3.18

---

Entry 5:
Computed, not measured: BaReHg2 after structural relaxation at the GGA-PBE level of DFT.

The value obtained for the energy of formation from the pure elements is 15.46 kcal/mol of atoms. As for the energy above the most stable polymorph in this dataset: 83 meV per atom.

Cell: 3.4606 3.4606 8.2505 Å, 90.00 90.00 90.00°
Closest atoms and distances in Å follow each position.
Space group P4/mmm (No. 123)
Unique sites:
Ba 0.0000 0.0000 0.0000  4 Ba 3.46, 8 Hg 3.50
Re 0.0000 0.0000 0.5000  8 Hg 2.93
Hg 0.5000 0.5000 0.3038  4 Re 2.93, 1 Hg 3.24

---

Entry 6:
Computed, not measured: LiTc3Os after structural relaxation at the GGA-PBE level of DFT.

The value obtained for the energy of formation from the pure elements is 25.37 kcal/mol of atoms. As for the energy above the most stable polymorph in this dataset: 0 meV per atom.

Cell: 4.0784 4.0784 4.0784 Å, 90.00 90.00 90.00°
Closest atoms and distances in Å follow each position.
Space group Pm-3m (No. 221)
Unique sites:
Li 0.0000 0.0000 0.0000  6 Tc 2.04
Tc 0.0000 0.0000 0.5000  2 Li 2.04
Os 0.5000 0.5000 0.5000  12 Tc 2.88

---

Entry 7:
Computed, not measured: NaBi12Pt4 after structural relaxation at the GGA-PBE level of DFT.

The value obtained for the energy of formation from the pure elements is -4.79 kcal/mol of atoms.

Cell: 10.0189 10.0189 10.0189 Å, 90.00 90.00 90.00°
Closest atoms and distances in Å follow each position.
Space group Im-3 (No. 204)
Unique sites:
Na 0.0000 0.0000 0.0000  12 Bi 3.74
Bi 0.0000 0.3385 0.1582  2 Pt 2.81
Pt 0.2500 0.2500 0.2500  6 Bi 2.81

---

Entry 8:
Computed, not measured: AcTmS2O8 after structural relaxation at the GGA-PBE level of DFT.

For the formation energy without anion corrections, the calculation gives -1.930 eV per atom.

Cell: 5.5719 5.5719 7.2859 Å, 90.00 90.00 120.00°
Closest atoms and distances in Å follow each position.
Space group P-3m1 (No. 164)
Unique sites:
Ac 0.0000 0.0000 0.0000  6 O 2.63
Tm 0.0000 0.0000 0.5000  6 O 2.22
S 0.3333 0.6667 0.2524  4 O 1.51-1.64
O 0.1650 0.3300 0.2876  1 S 1.64
O 0.3333 0.6667 0.0449  1 S 1.51

---

> What is the formula in the fourth record?

Ac2Sm7Er2

---

What did the sixth record say?
Computed, not measured: LiTc3Os after structural relaxation at the GGA-PBE level of DFT.

The value obtained for the energy of formation from the pure elements is 25.37 kcal/mol of atoms. As for the energy above the most stable polymorph in this dataset: 0 meV per atom.

Cell: 4.0784 4.0784 4.0784 Å, 90.00 90.00 90.00°
Closest atoms and distances in Å follow each position.
Space group Pm-3m (No. 221)
Unique sites:
Li 0.0000 0.0000 0.0000  6 Tc 2.04
Tc 0.0000 0.0000 0.5000  2 Li 2.04
Os 0.5000 0.5000 0.5000  12 Tc 2.88